First-principles (PBE-GGA) data for a geometry-optimized Bi3Te4Pb structure, as listed in the Alexandria database.

a b c (Å): 6.352 11.089 8.932
angles (deg): 90.00 90.00 90.00
Fractional coordinates of all 16 atoms:
Te (0.064, 0.841, 0.500)
Te (0.565, 0.124, 0.500)
Te (0.564, 0.647, 0.224)
Te (0.064, 0.353, 0.724)
Te (0.065, 0.876, 0.000)
Te (0.564, 0.159, 0.000)
Te (0.564, 0.647, 0.776)
Te (0.064, 0.353, 0.276)
Bi (0.064, 0.634, 0.825)
Bi (0.064, 0.634, 0.175)
Bi (0.564, 0.366, 0.675)
Bi (0.064, 0.105, 0.500)
Bi (0.564, 0.895, 0.000)
Bi (0.564, 0.366, 0.325)
Pb (0.564, 0.818, 0.500)
Pb (0.064, 0.182, 0.000)

Calculated values
* E_form (uncorrected): -9 kJ/mol of atoms
* magnetization: 0.00 μB per cell
* DOS at the Fermi energy: 0.50 states/eV/atom